[1]
Material: LiAcLaRh
Method: DFT, PBE-GGA
State: optimized geometry

Cell lengths 5.285, 5.285, 5.285 Å; angles 60.00, 60.00, 60.00 degrees
Element x y z (fractional)
Li 0.000 0.000 0.000
Ac 0.750 0.750 0.750
La 0.250 0.250 0.250
Rh 0.500 0.500 0.500

Properties
- Energy of formation: -0.282 eV per atom
- Space group: F-43m, No. 216
- Fermi-level density of states: 4.0 states/eV/cell

[2]
Material: LiAcLaRu
Method: DFT, PBE-GGA
State: optimized geometry

Cell lengths 5.251, 5.251, 5.251 Å; angles 60.00, 60.00, 60.00 degrees
Element x y z (fractional)
Li 0.000 0.000 0.000
Ac 0.250 0.250 0.250
La 0.750 0.750 0.750
Ru 0.500 0.500 0.500

Properties
- Energy of formation: -0.070 eV per atom
- Space group: F-43m, No. 216
- Fermi-level density of states: 2.6 states/eV/cell

[3]
Material: LiAcLa2S5
Method: DFT, PBE-GGA
State: optimized geometry

Cell lengths 8.822, 8.822, 12.341 Å; angles 90.00, 90.00, 152.76 degrees
Element x y z (fractional)
Li 0.006 0.994 0.500
Li 0.994 0.006 0.000
Ac 0.307 0.693 0.007
Ac 0.693 0.307 0.507
La 0.385 0.615 0.308
La 0.388 0.612 0.692
La 0.612 0.388 0.192
La 0.615 0.385 0.808
S 0.005 0.995 0.301
S 0.136 0.864 0.013
S 0.194 0.806 0.338
S 0.202 0.798 0.678
S 0.464 0.536 0.086
S 0.536 0.464 0.586
S 0.798 0.202 0.178
S 0.806 0.194 0.838
S 0.864 0.136 0.513
S 0.995 0.005 0.801

Properties
- Formation energy from raw total energies: -1962 meV per atom
- Space group: Cmc2_1, No. 36

[4]
Material: LiAc4La3S8
Method: DFT, PBE-GGA
State: optimized geometry

Cell lengths 8.418, 8.418, 8.418 Å; angles 60.17, 60.17, 60.17 degrees
Element x y z (fractional)
Li 0.000 0.000 0.000
Ac 0.000 0.000 0.500
Ac 0.000 0.500 0.000
Ac 0.500 0.000 0.000
Ac 0.500 0.500 0.500
La 0.000 0.500 0.500
La 0.500 0.000 0.500
La 0.500 0.500 0.000
S 0.241 0.241 0.752
S 0.241 0.752 0.241
S 0.248 0.759 0.759
S 0.253 0.253 0.253
S 0.747 0.747 0.747
S 0.752 0.241 0.241
S 0.759 0.248 0.759
S 0.759 0.759 0.248

Properties
- Formation energy from raw total energies: -1993 meV per atom
- Space group: R-3m, No. 166
- Fermi-level density of states: 11.1 states/eV/cell

no.,final energy (eV/atom)
1,-4.858
2,-5.126
3,-6.019
4,-6.128